# 1
Here is crystalline CsLaRu3 at its relaxed geometry from the Alexandria database. Energies are from PBE.

CIF file:
```
data_CsLaRu3
_chemical_formula_sum 'Cs1 La1 Ru3'
_cell_length_a 4.9369
_cell_length_b 4.9369
_cell_length_c 4.9369
_cell_angle_alpha 90.00
_cell_angle_beta 90.00
_cell_angle_gamma 90.00
_space_group_name_H-M_alt 'P 1'
_space_group_IT_number 1
loop_
_space_group_symop_operation_xyz
'x,y,z'
loop_
_atom_site_label
_atom_site_type_symbol
_atom_site_fract_x
_atom_site_fract_y
_atom_site_fract_z
_atom_site_occupancy
Cs1 Cs 0.0000 0.0000 0.0000 1
La1 La 0.5000 0.5000 0.5000 1
Ru1 Ru 0.0000 0.0000 0.5000 1
Ru2 Ru 0.0000 0.5000 0.0000 1
Ru3 Ru 0.5000 0.0000 0.0000 1
```

Excess energy over the best structure of this formula in the dataset ... 250 meV/atom
Magnetic moment ... 0.0 μB per cell
N(E_F) ... 7.81 states/eV/f.u.

# 2
Here is crystalline CsLaRu3 at its relaxed geometry from the Alexandria database. Energies are from PBE.

CIF file:
```
data_CsLaRu3
_chemical_formula_sum 'Cs1 La1 Ru3'
_cell_length_a 5.1617
_cell_length_b 5.1617
_cell_length_c 5.1617
_cell_angle_alpha 90.00
_cell_angle_beta 90.00
_cell_angle_gamma 90.00
_space_group_name_H-M_alt 'P 1'
_space_group_IT_number 1
loop_
_space_group_symop_operation_xyz
'x,y,z'
loop_
_atom_site_label
_atom_site_type_symbol
_atom_site_fract_x
_atom_site_fract_y
_atom_site_fract_z
_atom_site_occupancy
Cs1 Cs 0.0000 0.0000 0.0000 1
La1 La 0.5000 0.5000 0.5000 1
Ru1 Ru 0.0000 0.5000 0.5000 1
Ru2 Ru 0.5000 0.0000 0.5000 1
Ru3 Ru 0.5000 0.5000 0.0000 1
```

Excess energy over the best structure of this formula in the dataset ... 0 meV/atom
Magnetic moment ... 3.8 μB per cell
N(E_F) ... 7.99 states/eV/f.u.

# 3
Here is crystalline CsLaSbRu2 at its relaxed geometry from the Alexandria database. Energies are from PBE.

CIF file:
```
data_CsLaSbRu2
_chemical_formula_sum 'Cs1 La1 Sb1 Ru2'
_cell_length_a 4.9696
_cell_length_b 4.9696
_cell_length_c 5.9715
_cell_angle_alpha 90.00
_cell_angle_beta 90.00
_cell_angle_gamma 90.00
_space_group_name_H-M_alt 'P 1'
_space_group_IT_number 1
loop_
_space_group_symop_operation_xyz
'x,y,z'
loop_
_atom_site_label
_atom_site_type_symbol
_atom_site_fract_x
_atom_site_fract_y
_atom_site_fract_z
_atom_site_occupancy
Cs1 Cs 0.0000 0.0000 0.0000 1
La1 La 0.5000 0.5000 0.0000 1
Sb1 Sb 0.0000 0.0000 0.5000 1
Ru1 Ru 0.0000 0.5000 0.5000 1
Ru2 Ru 0.5000 0.0000 0.5000 1
```

Energy relative to the elements, uncorrected ... 1.07 eV/atom
Magnetic moment ... 0.0 μB per cell
N(E_F) ... 4.33 states/eV/f.u.

# 4
Here is crystalline Cs2LaSnRu at its relaxed geometry from the Alexandria database. Energies are from PBE.

CIF file:
```
data_Cs2LaSnRu
_chemical_formula_sum 'Cs2 La1 Sn1 Ru1'
_cell_length_a 7.1759
_cell_length_b 7.1759
_cell_length_c 6.1372
_cell_angle_alpha 90.00
_cell_angle_beta 90.00
_cell_angle_gamma 90.00
_space_group_name_H-M_alt 'P 1'
_space_group_IT_number 1
loop_
_space_group_symop_operation_xyz
'x,y,z'
loop_
_atom_site_label
_atom_site_type_symbol
_atom_site_fract_x
_atom_site_fract_y
_atom_site_fract_z
_atom_site_occupancy
Cs1 Cs 0.0000 0.5000 0.0000 1
Cs2 Cs 0.5000 0.0000 0.0000 1
La1 La 0.0000 0.0000 0.5000 1
Sn1 Sn 0.0000 0.0000 0.0000 1
Ru1 Ru 0.5000 0.5000 0.5000 1
```

Magnetic moment ... 2.5 μB per cell
Uncorrected energy ... -13.90 eV/cell
N(E_F) ... 7.70 states/eV/f.u.

# 5
Here is crystalline CsSrLa2Ru at its relaxed geometry from the Alexandria database. Energies are from PBE.

CIF file:
```
data_CsSrLa2Ru
_chemical_formula_sum 'Cs1 Sr1 La2 Ru1'
_cell_length_a 5.5711
_cell_length_b 5.5711
_cell_length_c 6.5563
_cell_angle_alpha 90.00
_cell_angle_beta 90.00
_cell_angle_gamma 90.00
_space_group_name_H-M_alt 'P 1'
_space_group_IT_number 1
loop_
_space_group_symop_operation_xyz
'x,y,z'
loop_
_atom_site_label
_atom_site_type_symbol
_atom_site_fract_x
_atom_site_fract_y
_atom_site_fract_z
_atom_site_occupancy
Cs1 Cs 0.0000 0.0000 0.0000 1
Sr1 Sr 0.5000 0.5000 0.0000 1
La1 La 0.0000 0.5000 0.5000 1
La2 La 0.5000 0.0000 0.5000 1
Ru1 Ru 0.5000 0.5000 0.5000 1
```

Magnetic moment ... 0.0 μB per cell
Uncorrected energy ... -21.29 eV/cell
N(E_F) ... 3.63 states/eV/f.u.

# 6
Here is crystalline CsLa3S at its relaxed geometry from the Alexandria database. Energies are from PBE.

CIF file:
```
data_CsLa3S
_chemical_formula_sum 'Cs1 La3 S1'
_cell_length_a 5.8398
_cell_length_b 5.8398
_cell_length_c 5.8398
_cell_angle_alpha 90.00
_cell_angle_beta 90.00
_cell_angle_gamma 90.00
_space_group_name_H-M_alt 'P 1'
_space_group_IT_number 1
loop_
_space_group_symop_operation_xyz
'x,y,z'
loop_
_atom_site_label
_atom_site_type_symbol
_atom_site_fract_x
_atom_site_fract_y
_atom_site_fract_z
_atom_site_occupancy
Cs1 Cs 0.0000 0.0000 0.0000 1
La1 La 0.0000 0.0000 0.5000 1
La2 La 0.0000 0.5000 0.0000 1
La3 La 0.5000 0.0000 0.0000 1
S1 S 0.5000 0.5000 0.5000 1
```

Energy relative to the elements, uncorrected ... 0.97 eV/atom
Excess energy over the best structure of this formula in the dataset ... 1371 meV/atom
Magnetic moment ... 0.0 μB per cell
N(E_F) ... 10.09 states/eV/f.u.